Computed, not measured: a relaxed structure of BeTcHg2W at the PBE-GGA level of DFT.

```
BeTcHg2W
1.0
5.280 0.000 0.000
0.000 4.609 0.000
0.000 0.000 5.280
Hg Tc Be W
2 1 1 1
Direct
0.000 0.000 0.500
0.500 0.000 0.000
0.000 0.000 0.000
0.500 0.500 0.500
0.000 0.500 0.000
```

Summary:
Density of states at the Fermi level ... 4.96 states/eV per cell
Calculated formation energy ... 1777 meV per atom